Entry 1:
VASP calculation (PBE) on crystalline LiGa2NiOs at its relaxed geometry.

ΔE_f: 0.79 eV/atom

The structure in POSCAR format:
```
LiGa2NiOs
1.0
-3.3704 2.4955 0.3817
-2.2905 -3.0145 -0.5163
-0.0361 -0.6843 4.1549
Ni Ga Li Os
1 2 1 1
Direct
0.0000 0.5000 0.0000 Ni
0.5000 0.0000 0.0000 Ga
0.0000 0.0000 0.5000 Ga
0.0000 0.0000 0.0000 Li
0.5000 0.5000 0.5000 Os
```


Entry 2:
VASP calculation (PBE) on crystalline Li2Ga5NiPd2 at its relaxed geometry.

ΔE_f: -0.37 eV/atom

The structure in POSCAR format:
```
Li2Ga5NiPd2
1.0
3.3246 0.0000 0.0000
0.0000 9.9028 0.0000
0.0000 0.0000 9.9028
Li Ni Pd Ga
4 2 4 10
Direct
0.0000 0.8291 0.6709 Li
0.0000 0.3291 0.8291 Li
0.0000 0.1709 0.3291 Li
0.0000 0.6709 0.1709 Li
0.0000 0.5000 0.5000 Ni
0.0000 0.0000 0.0000 Ni
0.0000 0.8663 0.3663 Pd
0.0000 0.1337 0.6337 Pd
0.0000 0.6337 0.8663 Pd
0.0000 0.3663 0.1337 Pd
0.5000 0.5000 0.0000 Ga
0.5000 0.3174 0.5603 Ga
0.5000 0.0603 0.8174 Ga
0.5000 0.6826 0.4397 Ga
0.5000 0.8174 0.9397 Ga
0.5000 0.5603 0.6826 Ga
0.5000 0.1826 0.0603 Ga
0.5000 0.4397 0.3174 Ga
0.5000 0.0000 0.5000 Ga
0.5000 0.9397 0.1826 Ga
```


Entry 3:
VASP calculation (PBE) on crystalline LiPm2Ga3Ni4 at its relaxed geometry.

ΔE_f: -0.47 eV/atom

The structure in POSCAR format:
```
LiPm2Ga3Ni4
1.0
4.0603 0.0000 0.0000
0.0000 4.0603 0.0000
0.0000 0.0000 10.2370
Ni Pm Li Ga
4 2 1 3
Direct
0.5000 0.5000 0.0000 Ni
0.0000 0.0000 0.0000 Ni
0.5000 0.0000 0.6380 Ni
0.0000 0.5000 0.3620 Ni
0.0000 0.5000 0.7543 Pm
0.5000 0.0000 0.2457 Pm
0.5000 0.5000 0.5000 Li
0.0000 0.0000 0.5000 Ga
0.0000 0.5000 0.1251 Ga
0.5000 0.0000 0.8749 Ga
```


Entry 4:
VASP calculation (PBE) on crystalline LiPmGaNi at its relaxed geometry.

ΔE_f: -0.34 eV/atom

The structure in POSCAR format:
```
LiPmGaNi
1.0
4.6003 0.0000 0.0000
2.3001 3.9839 0.0000
2.3001 1.3280 3.7561
Ga Pm Li Ni
1 1 1 1
Direct
0.0000 0.0000 0.0000 Ga
0.5000 0.5000 0.5000 Pm
0.7500 0.7500 0.7500 Li
0.2500 0.2500 0.2500 Ni
```


no.,spin magnetization (μB per formula unit),density of states at the Fermi level (states/eV/f.u.),electronic total energy (Ry/atom)
1,0.000,2.566,-0.3089
2,0.000,4.885,-0.2852
3,0.000,7.413,-0.3549
4,0.001,6.310,-0.3091